# 1
# P3Pd7, relaxed, DFT GGA-PBEsol
data_P3Pd7
_cell_length_a 11.8809
_cell_length_b 11.8809
_cell_length_c 7.0404
_cell_angle_alpha 90.00
_cell_angle_beta 90.00
_cell_angle_gamma 120.00
_space_group_name_H-M_alt 'R -3'
_space_group_IT_number 148
_space_group_name_Hall '-R 3'
loop_
_atom_site_label
_atom_site_fract_x
_atom_site_fract_y
_atom_site_fract_z
P1 0.0099 0.8174 0.2135
Pd1 0.0000 0.0000 0.3028
Pd2 0.0297 0.7927 0.8770
Pd3 0.0722 0.4987 0.1540
# Electronic total energy ... -385.95 eV/cell
# Mass density ... 9.70 g/cm3

# 2
# P2Pd15, relaxed, DFT GGA-PBEsol
data_P2Pd15
_cell_length_a 7.0805
_cell_length_b 7.0805
_cell_length_c 17.0238
_cell_angle_alpha 90.00
_cell_angle_beta 90.00
_cell_angle_gamma 120.00
_space_group_name_H-M_alt 'R -3'
_space_group_IT_number 148
_space_group_name_Hall '-R 3'
loop_
_atom_site_label
_atom_site_fract_x
_atom_site_fract_y
_atom_site_fract_z
P1 0.0000 0.0000 0.2144
Pd1 0.0000 0.0000 0.0000
Pd2 0.0000 0.0000 0.4202
Pd3 0.0198 0.7604 0.7045
Pd4 0.0484 0.2668 0.1301
# Electronic total energy ... -316.31 eV/cell
# Mass density ... 11.18 g/cm3

# 3
# P3Pd, relaxed, DFT GGA-PBEsol
data_P3Pd
_cell_length_a 8.106
_cell_length_b 8.106
_cell_length_c 8.106
_cell_angle_alpha 90.00
_cell_angle_beta 90.00
_cell_angle_gamma 90.00
_space_group_name_H-M_alt 'I m -3'
_space_group_IT_number 204
_space_group_name_Hall '-I 2 2 3'
loop_
_atom_site_label
_atom_site_fract_x
_atom_site_fract_y
_atom_site_fract_z
P1 0.000 0.137 0.363
Pd1 0.250 0.250 0.250
# Electronic total energy ... -197.04 eV/cell
# Mass density ... 4.97 g/cm3

# 4
# PrPPd, relaxed, DFT GGA-PBEsol
data_PrPPd
_cell_length_a 4.1749
_cell_length_b 4.1749
_cell_length_c 7.9129
_cell_angle_alpha 90.00
_cell_angle_beta 90.00
_cell_angle_gamma 120.00
_space_group_name_H-M_alt 'P 63/m m c'
_space_group_IT_number 194
_space_group_name_Hall '-P 6c 2c'
loop_
_atom_site_label
_atom_site_fract_x
_atom_site_fract_y
_atom_site_fract_z
Pr1 0.0000 0.0000 0.0000
P1 0.3333 0.6667 0.2500
Pd1 0.3333 0.6667 0.7500
# Electronic total energy ... -41.50 eV/cell
# Mass density ... 7.74 g/cm3